# Ac3Rh2Pb4 (PBE-GGA, optimized geometry)
data_Ac3Rh2Pb4
_chemical_formula_sum 'Ac6 Rh4 Pb8'
_space_group_name_H-M_alt 'C 1 2/m 1'
_space_group_IT_number 12
_cell_length_a 12.2035
_cell_length_b 4.8611
_cell_length_c 9.6843
_cell_angle_alpha 90.00
_cell_angle_beta 110.97
_cell_angle_gamma 90.00
loop_
_space_group_symop_operation_xyz
'x,y,z'
'-x,-y,-z'
'-x,y,-z'
'x,-y,z'
'x+1/2,y+1/2,z'
'-x+1/2,-y+1/2,-z'
'-x+1/2,y+1/2,-z'
'x+1/2,-y+1/2,z'
loop_
_atom_site_label
_atom_site_fract_x
_atom_site_fract_y
_atom_site_fract_z
Ac1 0.0000 0.0000 0.0000
Ac2 0.1832 0.5000 0.6213
Rh1 0.1107 0.5000 0.2865
Pb1 0.0211 0.0000 0.3498
Pb2 0.2402 0.5000 0.0986
# uncorrected energy: -5.137 eV per atom
# excess energy over the best structure of this formula in the dataset: 18 meV per atom
# magnetization: 0.00 μB per cell


# Ac2Rh7Pb12 (PBE-GGA, optimized geometry)
data_Ac2Rh7Pb12
_chemical_formula_sum 'Ac2 Rh7 Pb12'
_space_group_name_H-M_alt 'P -6'
_space_group_IT_number 174
_cell_length_a 11.6477
_cell_length_b 11.6477
_cell_length_c 4.3445
_cell_angle_alpha 90.00
_cell_angle_beta 90.00
_cell_angle_gamma 120.00
loop_
_space_group_symop_operation_xyz
'x,y,z'
'-x+y,-x,-z'
'-y,x-y,z'
'x,y,-z'
'-x+y,-x,z'
'-y,x-y,-z'
loop_
_atom_site_label
_atom_site_fract_x
_atom_site_fract_y
_atom_site_fract_z
Ac1 0.0000 0.0000 0.0000
Ac2 0.3333 0.6667 0.5000
Rh1 0.0845 0.6332 0.0000
Rh2 0.2536 0.0441 0.5000
Rh3 0.6667 0.3333 0.0000
Pb1 0.0579 0.7786 0.5000
Pb2 0.1024 0.4014 0.0000
Pb3 0.3873 0.2137 0.0000
Pb4 0.5398 0.1131 0.5000
# uncorrected energy: -5.120 eV per atom
# magnetization: 0.00 μB per cell


# AcRhPb (PBE-GGA, optimized geometry)
data_AcRhPb
_chemical_formula_sum 'Ac1 Rh1 Pb1'
_space_group_name_H-M_alt 'P -6 m 2'
_space_group_IT_number 187
_space_group_name_Hall 'P -6 2'
_cell_length_a 4.7769
_cell_length_b 4.7769
_cell_length_c 4.2344
_cell_angle_alpha 90.00
_cell_angle_beta 90.00
_cell_angle_gamma 120.00
loop_
_atom_site_label
_atom_site_fract_x
_atom_site_fract_y
_atom_site_fract_z
Ac1 0.0000 0.0000 0.0000
Rh1 0.3333 0.6667 0.5000
Pb1 0.6667 0.3333 0.5000
# uncorrected energy: -5.535 eV per atom
# excess energy over the best structure of this formula in the dataset: 138 meV per atom
# magnetization: 0.00 μB per cell


# Ac6Rh2Pb (PBE-GGA, optimized geometry)
data_Ac6Rh2Pb
_chemical_formula_sum 'Ac24 Rh8 Pb4'
_space_group_name_H-M_alt 'C 1 2/c 1'
_space_group_IT_number 15
_cell_length_a 16.2708
_cell_length_b 10.1553
_cell_length_c 8.8035
_cell_angle_alpha 90.00
_cell_angle_beta 107.37
_cell_angle_gamma 90.00
loop_
_space_group_symop_operation_xyz
'x,y,z'
'-x,-y,-z'
'-x,y,-z+1/2'
'x,-y,z+1/2'
'x+1/2,y+1/2,z'
'-x+1/2,-y+1/2,-z'
'-x+1/2,y+1/2,-z+1/2'
'x+1/2,-y+1/2,z+1/2'
loop_
_atom_site_label
_atom_site_fract_x
_atom_site_fract_y
_atom_site_fract_z
Ac1 0.0932 0.1756 0.1386
Ac2 0.1246 0.4608 0.8691
Ac3 0.1736 0.1679 0.6082
Rh1 0.2415 0.4404 0.6639
Pb1 0.0000 0.1006 0.7500
# uncorrected energy: -5.116 eV per atom
# magnetization: 0.00 μB per cell


# Ac2Rh3Pb5 (PBE-GGA, optimized geometry)
data_Ac2Rh3Pb5
_chemical_formula_sum 'Ac8 Rh12 Pb20'
_space_group_name_H-M_alt 'C m c 21'
_space_group_IT_number 36
_cell_length_a 4.7092
_cell_length_b 27.9467
_cell_length_c 7.7228
_cell_angle_alpha 90.00
_cell_angle_beta 90.00
_cell_angle_gamma 90.00
loop_
_space_group_symop_operation_xyz
'x,y,z'
'-x,-y,z+1/2'
'-x,y,z'
'x,-y,z+1/2'
'x+1/2,y+1/2,z'
'-x+1/2,-y+1/2,z+1/2'
'-x+1/2,y+1/2,z'
'x+1/2,-y+1/2,z+1/2'
loop_
_atom_site_label
_atom_site_fract_x
_atom_site_fract_y
_atom_site_fract_z
Ac1 0.0000 0.0274 0.0000
Ac2 0.0000 0.3278 0.9351
Rh1 0.0000 0.1067 0.2420
Rh2 0.0000 0.2741 0.4289
Rh3 0.0000 0.4521 0.2142
Pb1 0.0000 0.0952 0.6160
Pb2 0.0000 0.2053 0.1377
Pb3 0.0000 0.2103 0.7255
Pb4 0.0000 0.3746 0.4713
Pb5 0.0000 0.4500 0.8315
# uncorrected energy: -5.299 eV per atom
# magnetization: 0.00 μB per cell


# Ac5Rh2Pb2 (PBE-GGA, optimized geometry)
data_Ac5Rh2Pb2
_chemical_formula_sum 'Ac5 Rh2 Pb2'
_space_group_name_H-M_alt 'P 4/m m m'
_space_group_IT_number 123
_space_group_name_Hall '-P 4 2'
_cell_length_a 5.7230
_cell_length_b 5.7230
_cell_length_c 9.3823
_cell_angle_alpha 90.00
_cell_angle_beta 90.00
_cell_angle_gamma 90.00
loop_
_atom_site_label
_atom_site_fract_x
_atom_site_fract_y
_atom_site_fract_z
Ac1 0.0000 0.0000 0.0000
Ac2 0.0000 0.5000 0.2881
Rh1 0.0000 0.0000 0.3415
Pb1 0.5000 0.5000 0.0000
Pb2 0.5000 0.5000 0.5000
# uncorrected energy: -5.232 eV per atom
# excess energy over the best structure of this formula in the dataset: 29 meV per atom
# magnetization: 0.00 μB per cell


# AcRh2Pb2 (PBE-GGA, optimized geometry)
data_AcRh2Pb2
_chemical_formula_sum 'Ac4 Rh8 Pb8'
_space_group_name_H-M_alt 'C 1 2/c 1'
_space_group_IT_number 15
_cell_length_a 10.1156
_cell_length_b 9.7558
_cell_length_c 5.7429
_cell_angle_alpha 90.00
_cell_angle_beta 114.10
_cell_angle_gamma 90.00
loop_
_space_group_symop_operation_xyz
'x,y,z'
'-x,-y,-z'
'-x,y,-z+1/2'
'x,-y,z+1/2'
'x+1/2,y+1/2,z'
'-x+1/2,-y+1/2,-z'
'-x+1/2,y+1/2,-z+1/2'
'x+1/2,-y+1/2,z+1/2'
loop_
_atom_site_label
_atom_site_fract_x
_atom_site_fract_y
_atom_site_fract_z
Ac1 0.0000 0.1550 0.2500
Rh1 0.0000 0.2083 0.7500
Rh2 0.0000 0.4607 0.2500
Pb1 0.2196 0.3976 0.0923
# uncorrected energy: -5.544 eV per atom
# excess energy over the best structure of this formula in the dataset: 93 meV per atom
# magnetization: 0.00 μB per cell


# Ac2Rh2Pb (PBE-GGA, optimized geometry)
data_Ac2Rh2Pb
_chemical_formula_sum 'Ac4 Rh4 Pb2'
_space_group_name_H-M_alt 'P 4/m b m'
_space_group_IT_number 127
_space_group_name_Hall '-P 4 2ab'
_cell_length_a 8.0048
_cell_length_b 8.0048
_cell_length_c 4.0732
_cell_angle_alpha 90.00
_cell_angle_beta 90.00
_cell_angle_gamma 90.00
loop_
_atom_site_label
_atom_site_fract_x
_atom_site_fract_y
_atom_site_fract_z
Ac1 0.1719 0.3281 0.0000
Rh1 0.1289 0.6289 0.5000
Pb1 0.0000 0.0000 0.5000
# uncorrected energy: -5.952 eV per atom
# excess energy over the best structure of this formula in the dataset: 0 meV per atom
# magnetization: 0.00 μB per cell


- Which of these has the lowest uncorrected energy?
  Ac2Rh2Pb